[1]
LaAgTe2N (SCAN, single point on PBEsol structure); calculated total energy = -31.69 eV per atom; space-group type = P4/mmm, No. 123; formation energy from raw total energies = -0.042 eV/atom
1.0
5.484 0.000 0.000
0.000 5.484 0.000
0.000 0.000 4.080
La Ag Te N
1 1 2 1
direct
0.000 0.000 0.000 La
0.500 0.500 0.500 Ag
0.000 0.500 0.500 Te
0.500 0.000 0.500 Te
0.500 0.500 0.000 N


[2]
NaLa2Ag2 (SCAN, single point on PBEsol structure); calculated total energy = -30.84 eV per atom; space-group type = P4/mbm, No. 127; energy relative to the elements = -204.8 meV/atom
1.0
8.411 0.000 0.000
0.000 8.411 0.000
0.000 0.000 3.944
Na La Ag
2 4 4
direct
0.000 0.000 0.000 Na
0.500 0.500 0.000 Na
0.162 0.338 0.500 La
0.338 0.838 0.500 La
0.662 0.162 0.500 La
0.838 0.662 0.500 La
0.128 0.628 0.000 Ag
0.372 0.128 0.000 Ag
0.628 0.872 0.000 Ag
0.872 0.372 0.000 Ag


| no. | magnetic moment (μB per cell) |
| --- | --- |
| 1 | 1.69 |
| 2 | 0.00 |